# LaOs2Au | Alexandria | PBE-GGA | optimized geometry
# - Offset from the most stable computed form: 824 meV/atom
# - Mass density: 15.98 g/cm³
# - V: 18.6 Å³ per atom
data_LaOs2Au
_cell_length_a 2.957
_cell_length_b 2.957
_cell_length_c 8.512
_cell_angle_alpha 90.00
_cell_angle_beta 90.00
_cell_angle_gamma 90.00
_symmetry_space_group_name_H-M 'P 4/m m m'
_symmetry_Int_Tables_number 123
_symmetry_space_group_name_Hall '-P 4 2'
loop_
_atom_site_label
_atom_site_type_symbol
_atom_site_fract_x
_atom_site_fract_y
_atom_site_fract_z
La1 La 0.000 0.000 0.000
Os1 Os 0.500 0.500 0.282
Au1 Au 0.000 0.000 0.500